Entry 1:
Compound: HfSeSCl2
Source: Alexandria
Functional: PBE-GGA
Structure: optimized geometry

POSCAR file:
```
HfSeSCl2
1.0
5.0482 0.0000 0.0000
0.0000 5.0482 0.0000
0.0000 0.0000 4.9192
Cl Hf S Se
2 1 1 1
Direct
0.5000 0.0000 0.0000
0.0000 0.5000 0.0000
0.0000 0.0000 0.0000
0.0000 0.0000 0.5000
0.5000 0.5000 0.5000
```

Output
Raw formation energy = -642 meV per atom
Raw total energy = -4.894 eV/atom
DOS(E_F) = 3.16 states/eV/f.u.
E above lowest polymorph = 0.0 meV per atom

=====

Entry 2:
Compound: Sc2SiP2
Source: Alexandria
Functional: PBE-GGA
Structure: optimized geometry

POSCAR file:
```
Sc2SiP2
1.0
6.9121 0.0000 0.0000
0.0000 6.9121 0.0000
0.0000 0.0000 3.6040
P Sc Si
4 4 2
Direct
0.1505 0.3495 0.0000
0.3495 0.8495 0.0000
0.8495 0.6505 0.0000
0.6505 0.1505 0.0000
0.1577 0.6577 0.5000
0.3423 0.1577 0.5000
0.6577 0.8423 0.5000
0.8423 0.3423 0.5000
0.0000 0.0000 0.0000
0.5000 0.5000 0.0000
```

Output
Raw formation energy = -794 meV per atom
Raw total energy = -6.575 eV/atom
DOS(E_F) = 2.77 states/eV/f.u.

=====

Entry 3:
Compound: PmZrCu
Source: Alexandria
Functional: PBE-GGA
Structure: optimized geometry

POSCAR file:
```
PmZrCu
1.0
-3.1574 -0.2230 1.2373
0.8605 -2.8219 1.6871
2.7490 4.8061 3.2138
Cu Pm Zr
1 1 1
Direct
0.6869 0.6869 0.3738
0.0075 0.0075 0.0150
0.3056 0.3056 0.6112
```

Output
Raw total energy = -5.825 eV/atom
DOS(E_F) = 4.04 states/eV/f.u.
ΔE_f = -0.027 eV/atom